Entry 1:
Compound: TiS2O8
Source: Alexandria via LeMat-Bulk
Functional: PBEsol
Structure: optimized geometry

Unit cell a=9.047 b=9.047 c=9.047 alpha=54.49 beta=54.49 gamma=54.49
Fractional coordinates of all 33 atoms:
Ti  0.000  0.000  0.000
Ti  0.199  0.199  0.199
Ti  0.699  0.699  0.699
S  0.089  0.394  0.810
S  0.318  0.877  0.598
S  0.394  0.810  0.089
S  0.598  0.318  0.877
S  0.810  0.089  0.394
S  0.877  0.598  0.318
O  0.052  0.426  0.270
O  0.107  0.361  0.983
O  0.110  0.202  0.840
O  0.161  0.931  0.775
O  0.202  0.840  0.110
O  0.221  0.473  0.627
O  0.270  0.052  0.426
O  0.326  0.705  0.619
O  0.361  0.983  0.107
O  0.426  0.270  0.052
O  0.473  0.627  0.221
O  0.504  0.864  0.574
O  0.525  0.835  0.877
O  0.574  0.504  0.864
O  0.619  0.326  0.705
O  0.627  0.221  0.473
O  0.705  0.619  0.326
O  0.775  0.161  0.931
O  0.835  0.877  0.525
O  0.840  0.110  0.202
O  0.864  0.574  0.504
O  0.877  0.525  0.835
O  0.931  0.775  0.161
O  0.983  0.107  0.361

Output
formation energy from raw total energies	-19.31	eV per formula unit
spin magnetization	0.0	μB/f.u.
calculated total energy	-7.13	eV/atom

Entry 2:
Compound: KTcAu
Source: Alexandria via LeMat-Bulk
Functional: PBEsol
Structure: optimized geometry

Unit cell a=7.976 b=7.976 c=7.976 alpha=160.35 beta=160.35 gamma=27.93
Fractional coordinates of all 3 atoms:
K  0.000  0.000  0.000
Tc  0.314  0.314  0.000
Au  0.681  0.681  0.000

Output
spin magnetization	0.1	μB/f.u.
calculated total energy	-4.65	eV/atom

Entry 3:
Compound: ZrCl3
Source: Alexandria via LeMat-Bulk
Functional: PBEsol
Structure: optimized geometry

Unit cell a=3.326 b=3.326 c=6.477 alpha=90.00 beta=90.00 gamma=90.00
Fractional coordinates of all 4 atoms:
Zr  0.000  0.000  0.000
Cl  0.000  0.000  0.500
Cl  0.500  0.500  0.215
Cl  0.500  0.500  0.785

Output
formation energy from raw total energies	-4.47	eV per formula unit
spin magnetization	0.0	μB/f.u.
calculated total energy	-4.90	eV/atom